(1)
NiSn2Se: optimized geometry, PBE.

Cell and atoms, written as extended XYZ:
```
4
Lattice="0.000 3.498 3.498 3.498 0.000 3.498 3.498 3.498 0.000" Properties=species:S:1:pos:R:3 pbc="T T T"
Ni 0.000 0.000 0.000
Sn 1.749 1.749 1.749
Sn 5.248 5.248 5.248
Se 3.498 3.498 3.498
```

Output
Formation energy without anion corrections = 6.5 kcal/mol of atoms
SG = Fm-3m
Spin magnetization = 0.000 μB per cell
Distance to the lowest polymorph of the same formula = 302 meV/atom

***

(2)
Ni2SnSe2: optimized geometry, PBE.

Cell and atoms, written as extended XYZ:
```
5
Lattice="3.663 0.001 0.005 0.001 3.663 0.005 -1.821 -1.821 7.057" Properties=species:S:1:pos:R:3 pbc="T T T"
Ni 0.005 1.838 3.534
Ni 1.838 0.005 3.534
Sn 0.000 0.000 0.000
Se 1.838 1.838 1.998
Se 0.005 0.005 5.070
```

Output
Formation energy without anion corrections = -3.4 kcal/mol of atoms
SG = C2/m
Spin magnetization = 0.000 μB per cell

***

(3)
Ni2Sn2Se: optimized geometry, PBE.

Cell and atoms, written as extended XYZ:
```
10
Lattice="7.028 0.000 0.000 0.000 7.028 0.000 0.000 0.000 3.627" Properties=species:S:1:pos:R:3 pbc="T T T"
Ni 2.593 6.107 0.000
Ni 6.107 4.436 0.000
Ni 4.436 0.922 0.000
Ni 0.922 2.593 0.000
Sn 1.147 4.661 1.814
Sn 4.661 5.882 1.814
Sn 5.882 2.367 1.814
Sn 2.367 1.147 1.814
Se 0.000 0.000 0.000
Se 3.514 3.514 0.000
```

Output
Formation energy without anion corrections = -1.0 kcal/mol of atoms
SG = P4/mbm
Spin magnetization = 0.000 μB per cell

***

(4)
Ni5Sn3Se12: optimized geometry, PBE.

Cell and atoms, written as extended XYZ:
```
80
Lattice="13.235 0.000 0.000 -4.412 12.478 0.000 -4.412 -6.239 10.806" Properties=species:S:1:pos:R:3 pbc="T T T"
Sn 7.720 3.899 1.351
Sn 7.720 8.579 1.351
Sn -1.103 5.459 6.754
Sn 1.103 -0.780 4.052
Sn 9.926 0.000 2.702
Sn 1.103 6.239 2.702
Sn 3.309 0.000 8.105
Sn -5.515 6.239 8.105
Sn 3.309 7.019 6.754
Sn 5.515 0.780 4.052
Sn -3.309 -2.340 9.456
Sn -3.309 2.340 9.456
Ni -1.103 3.120 2.702
Ni -2.206 6.239 0.000
Ni 0.000 0.000 0.000
Ni 3.309 2.340 1.351
Ni 4.412 -3.120 5.403
Ni 4.412 6.239 0.000
Ni -3.309 7.019 4.052
Ni 5.515 -3.899 9.456
Ni 5.515 5.459 4.052
Ni 1.103 -3.120 8.105
Ni 3.309 9.359 2.702
Ni 2.206 3.120 5.403
Ni 6.618 0.000 0.000
Ni -2.206 -3.120 5.403
Ni -1.103 0.780 6.754
Ni -1.103 10.139 1.351
Ni -4.412 3.120 5.403
Ni 7.720 -0.780 6.754
Ni 1.103 3.899 9.456
Ni 5.515 3.120 8.105
Se 8.588 1.420 0.231
Se 0.235 4.030 4.289
Se 9.961 2.798 3.269
Se 5.480 1.688 1.345
Se 1.524 4.485 7.306
Se 9.514 6.427 1.903
Se -1.137 7.349 4.614
Se -3.274 10.790 1.345
Se 0.682 7.993 7.306
Se 5.927 6.051 1.903
Se 6.853 3.629 4.058
Se 6.853 11.058 0.231
Se -3.730 5.451 5.634
Se 2.897 4.497 0.789
Se -4.647 8.849 4.058
Se 2.441 -2.209 6.517
Se -0.682 0.965 2.135
Se 2.897 7.794 1.114
Se 5.480 9.680 3.269
Se -0.691 4.685 1.114
Se -2.888 7.204 8.672
Se 3.343 5.129 4.614
Se 5.936 7.027 5.634
Se 5.102 -1.742 10.017
Se 1.068 1.110 6.192
Se -1.524 -0.788 5.172
Se -0.691 7.981 0.789
Se -1.068 -3.441 7.538
Se 7.300 -0.965 2.135
Se 5.102 1.554 9.692
Se 1.515 -1.554 9.692
Se 1.971 8.448 4.289
Se 5.094 5.274 8.672
Se 9.059 -2.610 6.749
Se 8.141 0.788 5.172
Se -2.441 -4.819 10.575
Se 1.515 1.742 10.017
Se 3.730 -1.754 3.500
Se -1.515 0.188 8.903
Se -2.441 2.610 6.749
Se 7.686 -4.551 9.461
Se 5.549 -1.110 6.192
Se -1.068 4.551 9.461
Se -5.102 -0.188 8.903
Se 2.888 1.754 3.500
Se -5.549 3.441 7.538
Se 4.176 2.209 6.517
Se -4.176 4.819 10.575
```

Output
Formation energy without anion corrections = -4.5 kcal/mol of atoms
SG = Ia-3d
Spin magnetization = 0.000 μB per cell

***

(5)
Ni3SnSe: optimized geometry, PBE.

Cell and atoms, written as extended XYZ:
```
5
Lattice="4.426 0.000 0.000 0.000 4.426 0.000 0.000 0.000 4.426" Properties=species:S:1:pos:R:3 pbc="T T T"
Ni 0.000 2.213 0.000
Ni 0.000 0.000 2.213
Ni 2.213 0.000 0.000
Sn 2.213 2.213 2.213
Se 0.000 0.000 0.000
```

Output
Formation energy without anion corrections = 5.0 kcal/mol of atoms
SG = Pm-3m
Spin magnetization = 0.000 μB per cell
Distance to the lowest polymorph of the same formula = 0 meV/atom

***

(6)
NiSnSe2: optimized geometry, PBE.

Cell and atoms, written as extended XYZ:
```
4
Lattice="4.115 -6.878 3.168 6.062 -6.118 0.312 6.621 -4.386 3.348" Properties=species:S:1:pos:R:3 pbc="T T T"
Ni 8.399 -8.691 3.414
Sn 0.000 0.000 0.000
Se 14.845 -15.361 6.034
Se 1.953 -2.021 0.794
```

Output
Formation energy without anion corrections = -4.8 kcal/mol of atoms
SG = R-3m
Spin magnetization = 0.000 μB per cell
Distance to the lowest polymorph of the same formula = 8 meV/atom

***

(7)
NiSnSe2: optimized geometry, PBE.

Cell and atoms, written as extended XYZ:
```
8
Lattice="-5.485 -1.675 -1.351 1.193 -5.445 1.909 -3.916 -2.074 5.623" Properties=species:S:1:pos:R:3 pbc="T T T"
Ni -2.146 -3.560 0.279
Ni -2.435 -5.540 3.905
Sn 0.000 0.000 0.000
Sn -5.774 -3.655 2.275
Se -3.906 -2.139 0.887
Se -1.271 -4.239 2.343
Se -4.470 -4.575 4.549
Se -6.770 -7.437 4.583
```

Output
Formation energy without anion corrections = -4.8 kcal/mol of atoms
SG = I-42d
Spin magnetization = 0.000 μB per cell
Distance to the lowest polymorph of the same formula = 7 meV/atom

***

(8)
Ni2SnSe2: optimized geometry, PBE.

Cell and atoms, written as extended XYZ:
```
10
Lattice="-3.577 -5.334 -4.243 -0.938 -4.361 6.274 -2.677 1.361 0.546" Properties=species:S:1:pos:R:3 pbc="T T T"
Ni -2.322 -2.604 3.641
Ni -4.366 -6.459 3.228
Ni -4.871 -5.731 -1.065
Ni -2.827 -1.876 -0.651
Sn 0.000 0.000 0.000
Sn -2.258 -4.848 1.015
Se -2.055 -5.585 3.850
Se -3.654 -7.370 0.459
Se -2.461 -4.110 -1.819
Se -0.862 -2.325 1.572
```

Output
Formation energy without anion corrections = 3.7 kcal/mol of atoms
SG = P4/mbm
Spin magnetization = 0.000 μB per cell